A geometry-optimized Dy2HoTm2Mg5 structure. Source: the Alexandria database, functional PBE.

The value obtained for the calculated formation energy is 0.772 eV/f.u.

The space group is P4/mbm (No. 127) and the conventional cell measures 10.511, 10.511 and 5.037 Å, with angles of 90.00, 90.00 and 90.00 degrees. The distinct sites, in fractional coordinates, are Dy at (0.178, 0.322, 0.000), Ho at (0.000, 0.000, 0.000), Tm at (0.118, 0.618, 0.000), Mg at (0.000, 0.500, 0.500) and Mg at (0.073, 0.803, 0.500).

=====

A geometry-optimized DyHo2Tm4Mg structure. Source: the Alexandria database, functional PBE.

The value obtained for the calculated formation energy is 0.163 eV/f.u.

The space group is C2/m (No. 12) and the conventional cell measures 12.016, 3.633 and 11.402 Å, with angles of 90.00, 107.36 and 90.00 degrees. The distinct sites, in fractional coordinates, are Dy at (0.000, 0.000, 0.000), Ho at (0.024, 0.500, 0.273), Tm at (0.219, 0.500, 0.609), Tm at (0.237, 0.000, 0.867) and Mg at (0.000, 0.000, 0.500).

=====

A geometry-optimized DyHo2Tm2Mg2 structure. Source: the Alexandria database, functional PBE.

The value obtained for the calculated formation energy is -0.146 eV/f.u.

The space group is R-3m (No. 166, hexagonal axes) and the conventional cell measures 5.3923, 5.3923 and 23.7802 Å, with angles of 90.00, 90.00 and 120.00 degrees. The distinct sites, in fractional coordinates, are Dy at (0.0000, 0.0000, 0.0000), Ho at (0.0000, 0.0000, 0.4271), Tm at (0.0000, 0.0000, 0.1543) and Mg at (0.0000, 0.0000, 0.2888).

=====

A geometry-optimized DyHo2Tm5Mg structure. Source: the Alexandria database, functional PBE.

The value obtained for the calculated formation energy is 1.010 eV/f.u.

The space group is Cmc2_1 (No. 36) and the conventional cell measures 5.346, 19.873 and 10.309 Å, with angles of 90.00, 90.00 and 90.00 degrees. The distinct sites, in fractional coordinates, are Dy at (0.000, 0.206, 0.000), Ho at (0.000, 0.115, 0.287), Ho at (0.000, 0.115, 0.713), Tm at (0.000, 0.013, 0.000), Tm at (0.000, 0.289, 0.299), Tm at (0.000, 0.290, 0.701), Tm at (0.000, 0.383, 0.000), Tm at (0.000, 0.500, 0.250) and Mg at (0.000, 0.405, 0.499).